The following is a GGA-PBE calculation of a relaxed structure of Ag2RuSe, from Alexandria via LeMat-Bulk.

Electronic total energy: -4.299 eV per atom
Crystal system: orthorhombic
Magnetization: 0.0 μB/cell

Cell: 3.1437 4.6091 10.2817 Å, 90.00 90.00 90.00°
Closest atoms and distances in Å follow each position.
Space group Imm2 (No. 44)
One atom of each set of equivalent atoms:
Ag1 0.0000 0.0000 0.0000 (multiplicity 2)  2 Ru 2.91, 4 Se 2.94, 4 Ag 3.02-3.14
Ag2 0.0000 0.5000 0.1892 (multiplicity 2)  4 Ru 2.83, 4 Ag 3.02-3.14
Ru1 0.0000 0.5000 0.7378 (multiplicity 2)  2 Se 2.36
Se1 0.0000 0.0000 0.4084 (multiplicity 2)  2 Ru 2.36